[1]
## Ta3V8Ga (PBE-GGA)

Data for Ta3V8Ga after structural relaxation.

Output
- DFT formation energy: -0.05 eV per atom

Cell and atoms, written as extended XYZ:
```
12
Lattice="-2.0532 -3.4084 3.0164 2.7401 -3.8210 1.6802 2.4556 2.0884 8.1639" Properties=species:S:1:pos:R:3 pbc="T T T"
V 1.2137 -0.4204 4.4838
V 0.7567 -2.7816 3.5735
V -0.2686 -4.4836 5.0798
V 2.7675 -3.0262 10.8622
V 0.9502 -3.4252 9.1743
Ta 2.4539 2.0849 8.1588
V 2.1250 -4.6897 4.4126
V 3.3691 -3.6335 8.5000
Ta 1.5761 -2.5607 6.4446
Ga 1.5298 -5.5265 7.1945
V 2.3329 -5.3535 10.0222
Ta 2.4054 -0.8852 8.9023
```

=====

[2]
## CsIrI2 (PBE-GGA)

Data for CsIrI2 after structural relaxation.

Output
- Formation energy from raw total energies: 610 meV/atom
- Polymorph energy (0 for the lowest one): 798.4 meV per atom

Cell and atoms, written as extended XYZ:
```
4
Lattice="0.0000 4.0741 4.0741 4.0741 0.0000 4.0741 4.0741 4.0741 0.0000" Properties=species:S:1:pos:R:3 pbc="T T T"
Ir 4.0741 4.0741 4.0741
I 2.0371 2.0371 2.0371
Cs 0.0000 0.0000 0.0000
I 6.1112 6.1112 6.1112
```

=====

[3]
## MgPbCl (PBE-GGA)

Data for MgPbCl after structural relaxation.

Output
- Formation energy from raw total energies: -55 meV/atom
- Polymorph energy (0 for the lowest one): 739.1 meV per atom

Cell and atoms, written as extended XYZ:
```
3
Lattice="-3.9828 -2.8092 -1.4512 0.7372 -4.6276 -1.9754 -1.2981 -4.1359 2.6589" Properties=species:S:1:pos:R:3 pbc="T T T"
Mg -3.4078 -8.6795 -0.5758
Cl -2.2719 -5.7864 -0.3838
Pb 0.0000 0.0000 0.0000
```